First-principles (PBE) data for a relaxed structure of MnCr2As, as listed in Alexandria.

Cell lengths 2.9591, 2.9591, 5.5623 Å; angles 90.00, 90.00, 90.00 degrees
With the nearest neighbours (Å) after each atom.
Fractional coordinates of all 4 atoms:
1 Mn 0.0000 0.0000 0.5083  4 As 2.47, 4 Cr 2.58
2 Cr 0.0000 0.0000 0.0100  4 Cr 2.45, 4 As 2.56
3 Cr 0.5000 0.5000 0.2378  4 Cr 2.45, 4 Mn 2.58
4 As 0.5000 0.5000 0.7439  4 Mn 2.47, 5 Cr 2.56-2.75

## Properties
Uncorrected energy, Ry/atom: -0.6002
Symmetry: P4mm (99)
Crystal system: tetragonal
Total moment, Bohr magnetons per cell: 0.119
ΔE_f, meV/atom: 100